## i
Below is a geometry-optimized CuRe structure, with properties calculated at the PBE-GGA level.

Lattice parameters (Å, degrees): 4.107 4.107 4.905 90.00 90.00 120.00
Positions (direct):
Cu: 0.333 0.667 0.250
Cu: 0.667 0.333 0.750
Re: 0.333 0.667 0.750
Re: 0.667 0.333 0.250

M_tot   0.00 μB/f.u.
Mass density   11.58 g cm⁻³

## ii
Below is a geometry-optimized CuRe structure, with properties calculated at the PBE-GGA level.

Lattice parameters (Å, degrees): 3.845 3.845 5.026 90.00 90.00 120.00
Positions (direct):
Cu: 0.333 0.667 0.250
Cu: 0.667 0.333 0.750
Re: 0.000 0.000 0.000
Re: 0.000 0.000 0.500

M_tot   0.00 μB/f.u.
Mass density   12.89 g cm⁻³

The data favor ii; the next most stable structure lies 584 meV/atom above it.